[1]
A relaxed structure of K3Ce2HoTe6. Source: Alexandria, functional PBE.

Properties
The uncorrected formation energy comes out at -1.36 eV/atom.

Lattice parameters (Å, degrees): 7.9729 13.8110 8.6419 90.00 107.93 90.00
Space group C2/m (No. 12)
Symmetry-distinct sites (fractional):
K (0.0000, 0.0000, 0.0000) x2
K (0.0000, 0.3315, 0.0000) x4
Ce (0.0000, 0.1664, 0.5000) x4
Ho (0.0000, 0.5000, 0.5000) x2
Te (0.2326, 0.3378, 0.7116) x8
Te (0.2466, 0.0000, 0.7120) x4


[2]
A relaxed structure of VCr2B2. Source: Alexandria, functional PBE.

Properties
For the energy above the most stable polymorph in this dataset, the calculation gives 698 meV per atom. Its formation energy is 0.178 eV per atom.

Lattice parameters (Å, degrees): 4.1537 12.0479 4.0091 90.00 90.00 90.00
Space group Cmcm (No. 63)
Symmetry-distinct sites (fractional):
V (0.0000, 0.0000, 0.0000) x4
Cr (0.0000, 0.2119, 0.2500) x4
Cr (0.0000, 0.3978, 0.7500) x4
B (0.2393, 0.3618, 0.2500) x8


[3]
A relaxed structure of Pr2ErZn9. Source: Alexandria, functional PBE.

Properties
Its formation energy is -0.276 eV per atom.

Lattice parameters (Å, degrees): 5.4974 5.4974 26.2950 90.00 90.00 120.00
Space group R-3m (No. 166, hexagonal axes)
Symmetry-distinct sites (fractional):
Pr (0.0000, 0.0000, 0.1402) x6
Er (0.0000, 0.0000, 0.0000) x3
Zn (0.0000, 0.0000, 0.3346) x6
Zn (0.0000, 0.0000, 0.5000) x3
Zn (0.0034, 0.5017, 0.9203) x18


[4]
A relaxed structure of CdAg2Au. Source: Alexandria, functional PBE.

Properties
Its formation energy is -0.077 eV per atom.

Lattice parameters (Å, degrees): 6.6915 6.6915 6.6915 90.00 90.00 90.00
Space group F-43m (No. 216)
Symmetry-distinct sites (fractional):
Cd (0.0000, 0.0000, 0.0000) x4
Ag (0.0000, 0.0000, 0.5000) x4
Ag (0.2500, 0.2500, 0.2500) x4
Au (0.2500, 0.2500, 0.7500) x4


Number 1: magnetization 4.011 Bohr magnetons per cell. Number 2: magnetization 0.537 Bohr magnetons per cell. Number 3: magnetization 0.000 Bohr magnetons per cell. Number 4: magnetization 0.000 Bohr magnetons per cell.